DFT (PBE) results for KScAsBr2 after structural relaxation.

The calculation puts the uncorrected energy at -14.30 eV for the cell shown. The total moment comes out at 0.02 Bohr magnetons per cell.

It has space group P4/mmm (No. 123), with a = 5.509 Å, b = 5.509 Å, c = 5.736 Å, α = 90.00°, β = 90.00° and γ = 90.00°. The inequivalent atoms are K at (0.000, 0.000, 0.000), Sc at (0.500, 0.500, 0.500), As at (0.000, 0.000, 0.500) and Br at (0.000, 0.500, 0.000).